Entry 1:
# In2PBr

An optimized crystal structure of In2PBr (PBE, Alexandria via LeMat-Bulk).

Output
E above lowest polymorph = 0.260 eV per atom
Calculated density = 5.67 g/cm³
Calculated volume = 24.93 Å³ per atom
M_tot = 0.000 Bohr magnetons per cell

Cell lengths 7.5874, 7.5870, 3.5001 Å; angles 90.00, 98.16, 90.00 degrees
Closest atoms and distances in Å follow each position.
Space group C2/m (No. 12)
Asymmetric unit:
In1 0.2500 0.2500 0.0000  4 Br 3.05-3.35, 4 P 3.05-3.35
P1 0.0000 0.0000 0.5000  8 In 3.05-3.35
Br1 0.0000 0.5000 0.5000  8 In 3.05-3.35



Entry 2:
# InPBr2

An optimized crystal structure of InPBr2 (PBE, Alexandria via LeMat-Bulk).

Output
E above lowest polymorph = 0.406 eV per atom
Calculated density = 4.23 g/cm³
Calculated volume = 30.00 Å³ per atom
M_tot = 0.000 Bohr magnetons per cell

Cell lengths 4.1949, 4.1949, 23.6200 Å; angles 90.00, 90.00, 120.00 degrees
Closest atoms and distances in Å follow each position.
Space group R3m (No. 160, hexagonal axes)
Asymmetric unit:
In1 0.0000 0.0000 0.0000  3 P 2.58
P1 0.0000 0.0000 0.2953  3 In 2.58
Br1 0.0000 0.0000 0.5510  3 P 3.04
Br2 0.0000 0.0000 0.7437  3 In 3.03



> Which of these has the lowest E above lowest polymorph?

In2PBr



> What is the formula in the first record?

In2PBr



> The highest E above lowest polymorph belongs to which entry?

InPBr2